The following is a PBE calculation of a relaxed P2RhN crystal, from Alexandria via LeMat-Bulk.

Results
Energy relative to the elements, uncorrected (kJ per mole of atoms): 16
Crystal system: tetragonal
ρ (g/cm3): 5.277

Cell lengths 5.047, 5.047, 8.839 Å; angles 90.00, 90.00, 90.00 degrees
Space group I-42d (No. 122)
Unique sites:
P: 0.202 0.250 0.125 x8
Rh: 0.000 0.000 0.500 x4
N: 0.000 0.000 0.000 x4

The following is a PBE calculation of a relaxed YScRe2 crystal, from Alexandria via LeMat-Bulk.

Results
Crystal system: orthorhombic
ρ (g/cm3): 11.484
Calculated formation energy (eV/atom): 0.31

Cell lengths 3.315, 4.765, 9.268 Å; angles 90.00, 90.00, 90.00 degrees
Space group Immm (No. 71)
Unique sites:
Y: 0.000 0.000 0.000 x2
Sc: 0.000 0.000 0.500 x2
Re: 0.000 0.500 0.246 x4

The following is a PBE calculation of a relaxed GaRh3Se crystal, from Alexandria via LeMat-Bulk.

Results
Energy relative to the elements, uncorrected (kJ per mole of atoms): 76
Crystal system: cubic
ρ (g/cm3): 7.939

Cell lengths 4.574, 4.574, 4.574 Å; angles 90.00, 90.00, 90.00 degrees
Space group Pm-3m (No. 221)
Unique sites:
Ga: 0.000 0.000 0.000 x1
Rh: 0.000 0.000 0.500 x3
Se: 0.500 0.500 0.500 x1

The following is a PBE calculation of a relaxed Mn4Fe crystal, from Alexandria via LeMat-Bulk.

Results
Crystal system: monoclinic
ρ (g/cm3): 8.319
Calculated formation energy (eV/atom): 0.10

Cell lengths 4.156, 2.639, 10.113 Å; angles 90.00, 97.26, 90.00 degrees
Space group C2/m (No. 12)
Unique sites:
Mn: 0.065 0.000 0.205 x4
Mn: 0.235 0.000 0.602 x4
Fe: 0.000 0.500 0.000 x2

The following is a PBE calculation of a relaxed TmVIr2 crystal, from Alexandria via LeMat-Bulk.

Results
Crystal system: tetragonal
ρ (g/cm3): 14.978
Calculated formation energy (eV/atom): -0.42

Cell lengths 4.690, 4.690, 3.045 Å; angles 90.00, 90.00, 90.00 degrees
Space group P4/mmm (No. 123)
Unique sites:
Tm: 0.000 0.000 0.000 x1
V: 0.500 0.500 0.000 x1
Ir: 0.000 0.500 0.500 x2

The following is a PBE calculation of a relaxed TeRhN2F crystal, from Alexandria via LeMat-Bulk.

Results
Energy relative to the elements, uncorrected (kJ per mole of atoms): 117
Crystal system: tetragonal
ρ (g/cm3): 6.561

Cell lengths 4.105, 4.105, 4.168 Å; angles 90.00, 90.00, 90.00 degrees
Space group P4/mmm (No. 123)
Unique sites:
Te: 0.000 0.000 0.000 x1
Rh: 0.500 0.500 0.500 x1
N: 0.000 0.500 0.000 x2
F: 0.000 0.000 0.500 x1

The following is a PBE calculation of a relaxed PaPd2Au4 crystal, from Alexandria via LeMat-Bulk.

Results
Crystal system: monoclinic
ρ (g/cm3): 14.652
Calculated formation energy (eV/atom): -0.16

Cell lengths 8.512, 11.452, 7.136 Å; angles 90.00, 126.61, 90.00 degrees
Space group Cc (No. 9)
Unique sites:
Pa: 0.000 0.125 0.000 x4
Pd: 0.333 0.333 0.917 x4
Pd: 0.418 0.083 0.584 x4
Au: 0.140 0.258 0.425 x4
Au: 0.206 0.087 0.765 x4
Au: 0.215 0.492 0.575 x4
Au: 0.440 0.162 0.235 x4

The following is a PBE calculation of a relaxed RbAg2F4 crystal, from Alexandria via LeMat-Bulk.

Results
Energy relative to the elements, uncorrected (kJ per mole of atoms): -112
Crystal system: tetragonal
ρ (g/cm3): 4.068

Cell lengths 5.047, 5.047, 12.089 Å; angles 90.00, 90.00, 90.00 degrees
Space group I4/mmm (No. 139)
Unique sites:
Rb: 0.000 0.000 0.000 x2
Ag: 0.000 0.000 0.392 x4
F: 0.000 0.000 0.223 x4
F: 0.000 0.500 0.000 x4

The evaluated calculated volume for the records listed, in turn: 14.07 18.30 19.14 11.00 16.75 14.05 19.94 21.99 Å³/atom.